First-principles (PBE) data for a relaxed HfZr2Be crystal, as listed in Alexandria.

a = 4.270 Å, b = 4.270 Å, c = 4.259 Å
α = 90.00°, β = 90.00°, γ = 90.00°
Space group P4/mmm (No. 123)
Symmetry-distinct sites (fractional):
Hf 0.000 0.000 0.000
Zr 0.000 0.500 0.500
Be 0.500 0.500 0.000

Properties
The value obtained for the density of states at the Fermi level is 1.063 states/eV/atom. Its density is 7912 kg/m3. For the formation energy, the calculation gives 0.28 eV/f.u.